Crystalline LiBiPtAu at its relaxed geometry. Source: the Alexandria database, functional PBE-GGA.

Cell and atoms, written as POSCAR:
```
LiBiPtAu
1.0
6.688 0.000 0.000
0.000 6.688 0.000
0.000 0.000 6.688
Li Bi Pt Au
4 4 4 4
Cartesian
0.000 0.000 0.000 Li
0.000 3.344 3.344 Li
3.344 0.000 3.344 Li
3.344 3.344 0.000 Li
1.672 1.672 5.016 Bi
1.672 5.016 1.672 Bi
5.016 1.672 1.672 Bi
5.016 5.016 5.016 Bi
0.000 0.000 3.344 Pt
0.000 3.344 0.000 Pt
3.344 0.000 0.000 Pt
3.344 3.344 3.344 Pt
1.672 1.672 1.672 Au
1.672 5.016 5.016 Au
5.016 1.672 5.016 Au
5.016 5.016 1.672 Au
```

Summary:
energy of formation from the pure elements: -0.31 eV/atom